Record 1
First-principles (PBE-GGA) data for a relaxed BaLiScBi2 crystal, as listed in the Alexandria database.

Lattice parameters (Å, degrees): 7.951 7.951 7.951 145.45 145.45 49.67
Fractional coordinates of all 5 atoms:
Ba 0.000 0.000 0.000
Li 0.750 0.250 0.500
Sc 0.250 0.750 0.500
Bi 0.369 0.369 0.000
Bi 0.631 0.631 0.000

space-group type = I-4m2
formation enthalpy at 0 K = -0.740 eV/atom

Record 2
First-principles (PBE-GGA) data for a relaxed Mg2Cd6Bi crystal, as listed in the Alexandria database.

Lattice parameters (Å, degrees): 9.251 9.251 5.387 100.93 100.93 74.13
Fractional coordinates of all 18 atoms:
Mg 0.044 0.277 0.089
Mg 0.277 0.044 0.589
Mg 0.723 0.956 0.411
Mg 0.956 0.723 0.911
Cd 0.075 0.823 0.468
Cd 0.141 0.393 0.644
Cd 0.177 0.925 0.032
Cd 0.234 0.509 0.188
Cd 0.393 0.141 0.144
Cd 0.491 0.766 0.312
Cd 0.509 0.234 0.688
Cd 0.607 0.859 0.856
Cd 0.766 0.491 0.812
Cd 0.823 0.075 0.968
Cd 0.859 0.607 0.356
Cd 0.925 0.177 0.532
Bi 0.394 0.606 0.750
Bi 0.606 0.394 0.250

space-group type = C2/c
formation enthalpy at 0 K = -0.013 eV/atom

Record 3
First-principles (PBE-GGA) data for a relaxed BaBi3S crystal, as listed in the Alexandria database.

Lattice parameters (Å, degrees): 6.408 6.408 6.408 90.00 90.00 90.00
Fractional coordinates of all 5 atoms:
Ba 0.000 0.000 0.000
Bi 0.000 0.000 0.500
Bi 0.000 0.500 0.000
Bi 0.500 0.000 0.000
S 0.500 0.500 0.500

space-group type = Pm-3m
energy relative to the elements, uncorrected = 1.20 eV per atom